# 1
12
Lattice="-1.967 1.967 15.349 1.967 -1.967 15.349 1.967 1.967 -15.349" Properties=species:S:1:pos:R:3 comment="NiGe2Bi2Pt7 | Alexandria | PBE | relaxed" formation_energy_kj_per_mol_atoms=-23.3 spacegroup=I4/mmm pbc="T T T"
Ni 0.000 0.000 0.000
Ge 0.000 0.000 11.802
Ge 0.000 0.000 18.896
Bi 0.000 0.000 6.469
Bi 0.000 0.000 24.229
Pt 1.967 0.000 1.969
Pt 0.000 0.000 9.356
Pt 1.967 0.000 13.380
Pt 0.000 0.000 15.349
Pt 0.000 1.967 1.969
Pt 0.000 0.000 21.342
Pt 0.000 1.967 13.380


# 2
10
Lattice="2.331 -7.642 0.000 2.331 7.642 0.000 0.000 0.000 11.275" Properties=species:S:1:pos:R:3 comment="InPbI2Br | Alexandria | PBE | relaxed" spacegroup=Cmcm relative_energy_kj_per_mol_fu=0.0 pbc="T T T"
In 2.331 4.117 8.456
In 2.331 -4.117 2.819
Pb 2.331 0.000 0.000
Pb 2.331 0.000 5.638
I 2.331 5.460 0.655
I 2.331 5.460 4.983
I 2.331 -5.460 6.293
I 2.331 -5.460 10.620
Br 2.331 1.213 2.819
Br 2.331 -1.213 8.456


# 3
8
Lattice="2.415 1.394 7.902 -2.415 1.394 7.902 0.000 -2.789 7.902" Properties=species:S:1:pos:R:3 comment="DyTm2MgPd4 | Alexandria | PBE | relaxed" formation_energy_kj_per_mol_atoms=-84.1 spacegroup=R-3m pbc="T T T"
Dy 0.000 0.000 0.000
Tm 0.000 0.000 5.819
Tm 0.000 0.000 17.888
Mg 0.000 0.000 11.853
Pd 0.000 0.000 2.949
Pd 0.000 0.000 8.909
Pd 0.000 0.000 14.798
Pd 0.000 0.000 20.758


# 4
10
Lattice="-2.096 2.096 14.846 2.096 -2.096 14.846 2.096 2.096 -14.846" Properties=species:S:1:pos:R:3 comment="Nd4PaSe5 | Alexandria | PBE | relaxed" spacegroup=I4/mmm pbc="T T T"
Nd 0.000 0.000 2.966
Nd 0.000 0.000 9.049
Nd 0.000 0.000 20.642
Nd 0.000 0.000 26.726
Pa 0.000 0.000 14.846
Se 0.000 0.000 0.000
Se 0.000 0.000 6.003
Se 0.000 0.000 11.976
Se 0.000 0.000 17.715
Se 0.000 0.000 23.689


# 5
4
Lattice="1.677 0.968 11.065 -1.677 0.968 11.065 0.000 -1.937 11.065" Properties=species:S:1:pos:R:3 comment="CaZrSc2 | Alexandria | PBE | relaxed" formation_energy_kj_per_mol_atoms=11.9 spacegroup=R3m relative_energy_kj_per_mol_fu=8.1 pbc="T T T"
Ca 0.000 0.000 0.000
Zr 0.000 0.000 5.511
Sc 0.000 0.000 19.062
Sc 0.000 0.000 25.163


# 6
12
Lattice="5.340 0.000 0.000 -2.670 4.625 0.000 0.000 0.000 7.439" Properties=species:S:1:pos:R:3 comment="LaNpP2O8 | Alexandria | PBE | relaxed" spacegroup=P-3m1 pbc="T T T"
La 0.000 0.000 0.000
Np 0.000 0.000 3.720
P 0.000 3.083 1.491
P 2.670 1.542 5.949
O 0.000 1.620 2.027
O -1.267 3.814 2.027
O 0.000 3.083 7.402
O 1.403 0.810 5.412
O 1.267 3.814 2.027
O 2.670 1.542 0.037
O 3.937 0.810 5.412
O 2.670 3.004 5.412


# 7
12
Lattice="3.119 -5.398 0.000 3.119 5.398 0.000 -2.082 0.000 5.848" Properties=species:S:1:pos:R:3 comment="Ce3Th2PaN6 | Alexandria | PBE | relaxed" spacegroup=C2/m pbc="T T T"
Ce 0.000 0.000 0.000
Ce 3.119 1.804 0.000
Ce 3.119 -1.804 0.000
Th 2.078 3.600 2.924
Th 2.078 -3.600 2.924
Pa 2.078 0.000 2.924
N 1.092 1.708 1.527
N 0.102 0.000 4.339
N 1.092 -1.708 1.527
N 3.064 1.708 4.321
N 4.054 0.000 1.509
N 3.064 -1.708 4.321


# 8
4
Lattice="2.670 -3.711 0.000 2.670 3.711 0.000 0.000 0.000 3.153" Properties=species:S:1:pos:R:3 comment="ScZn2Os | Alexandria | PBE | relaxed" formation_energy_kj_per_mol_atoms=-1.0 spacegroup=Cmmm relative_energy_kj_per_mol_fu=100.3 pbc="T T T"
Sc 0.000 0.000 0.000
Zn 1.335 1.856 1.576
Zn 1.335 -1.856 1.576
Os 2.670 0.000 0.000


# 9
9
Lattice="-1.770 5.120 8.064 1.770 -5.120 8.064 1.770 5.120 -8.064" Properties=species:S:1:pos:R:3 comment="Pr2Y6In | Alexandria | PBE | relaxed" formation_energy_kj_per_mol_atoms=-2.3 spacegroup=Immm relative_energy_kj_per_mol_fu=61.9 pbc="T T T"
Pr 0.000 0.000 2.435
Pr 0.000 0.000 13.693
Y 1.770 -1.656 5.215
Y 1.770 2.126 0.000
Y 1.770 1.656 5.215
Y 0.000 3.464 2.849
Y 0.000 2.995 8.064
Y 0.000 6.777 2.849
In 0.000 5.120 0.000


# 10
12
Lattice="7.239 0.000 0.000 -3.620 6.269 0.000 0.000 0.000 7.900" Properties=species:S:1:pos:R:3 comment="Ba3ZrCu2S6 | Alexandria | PBE | relaxed" spacegroup=P-3m1 pbc="T T T"
Ba 0.000 0.000 0.000
Ba 0.000 4.180 5.019
Ba 3.620 2.090 2.881
Zr 0.000 0.000 3.950
Cu 0.000 4.180 1.916
Cu 3.620 2.090 5.984
S 0.000 2.030 2.376
S -1.861 5.254 2.376
S 1.758 1.015 5.524
S 1.861 5.254 2.376
S 5.481 1.015 5.524
S 3.620 4.239 5.524


# 11
8
Lattice="3.507 0.000 0.000 0.000 3.507 0.000 0.000 0.000 15.556" Properties=species:S:1:pos:R:3 comment="Li5Tm3 | Alexandria | PBE | relaxed" formation_energy_kj_per_mol_atoms=4.7 spacegroup=P4/mmm pbc="T T T"
Li 0.000 0.000 0.000
Li 0.000 0.000 3.226
Li 0.000 0.000 12.330
Li 1.753 1.753 1.670
Li 1.753 1.753 13.885
Tm 0.000 0.000 7.778
Tm 1.753 1.753 5.394
Tm 1.753 1.753 10.161


# 12
8
Lattice="-3.478 3.483 4.066 3.478 -3.483 4.066 3.478 3.483 -4.066" Properties=species:S:1:pos:R:3 comment="SrHoCu2Se4 | Alexandria | PBE | relaxed" spacegroup=I222 pbc="T T T"
Sr 0.000 0.000 0.000
Ho 0.000 0.000 4.066
Cu 3.478 0.000 2.041
Cu 0.000 3.483 2.025
Se 1.935 1.940 -1.714
Se 1.544 -1.543 5.780
Se 1.544 1.543 2.352
Se 1.935 5.027 1.714


# 13
4
Lattice="0.000 3.256 3.256 3.256 0.000 3.256 3.256 3.256 0.000" Properties=species:S:1:pos:R:3 comment="UMnIrRh | Alexandria | PBE | relaxed" formation_energy_kj_per_mol_atoms=-26.3 spacegroup=F-43m pbc="T T T"
U 0.000 0.000 0.000
Mn 3.256 3.256 3.256
Ir 4.884 4.884 4.884
Rh 1.628 1.628 1.628


| no. | energy (eV/atom) |
| --- | --- |
| 1 | -5.663 |
| 2 | -2.894 |
| 3 | -5.360 |
| 4 | -6.299 |
| 5 | -5.680 |
| 6 | -8.400 |
| 7 | -9.245 |
| 8 | -5.037 |
| 9 | -5.700 |
| 10 | -5.280 |
| 11 | -2.824 |
| 12 | -4.562 |
| 13 | -9.440 |